Entry from the Alexandria database: YTl4Pd15 after structural relaxation (PBE).

Cell lengths 4.1000, 4.1000, 20.4474 Å; angles 90.00, 90.00, 90.00 degrees
Last column: nearest neighbours and their distance in Å.
Element x y z (fractional)
1 Y 0.0000 0.0000 0.0000  12 Pd 2.90-2.92
2 Tl 0.0000 0.0000 0.2026  12 Pd 2.87-2.91
3 Tl 0.0000 0.0000 0.4004  12 Pd 2.88-2.90
4 Tl 0.0000 0.0000 0.5996  12 Pd 2.88-2.90
5 Tl 0.0000 0.0000 0.7974  12 Pd 2.87-2.91
6 Pd 0.5000 0.5000 0.0000  4 Y 2.90, 8 Pd 2.92
7 Pd 0.5000 0.5000 0.2004  8 Pd 2.87-2.91, 4 Tl 2.90
8 Pd 0.5000 0.5000 0.4008  8 Pd 2.88-2.89, 4 Tl 2.90
9 Pd 0.5000 0.5000 0.5992  8 Pd 2.88-2.89, 4 Tl 2.90
10 Pd 0.5000 0.5000 0.7996  8 Pd 2.87-2.91, 4 Tl 2.90
11 Pd 0.5000 0.0000 0.1018  8 Pd 2.87-2.92, 2 Tl 2.91, 2 Y 2.92
12 Pd 0.5000 0.0000 0.3012  4 Tl 2.87-2.88, 8 Pd 2.89-2.91
13 Pd 0.5000 0.0000 0.5000  8 Pd 2.88-2.90, 4 Tl 2.89
14 Pd 0.5000 0.0000 0.6988  4 Tl 2.87-2.88, 8 Pd 2.89-2.91
15 Pd 0.5000 0.0000 0.8982  8 Pd 2.87-2.92, 2 Tl 2.91, 2 Y 2.92
16 Pd 0.0000 0.5000 0.1018  8 Pd 2.87-2.92, 2 Tl 2.91, 2 Y 2.92
17 Pd 0.0000 0.5000 0.3012  4 Tl 2.87-2.88, 8 Pd 2.89-2.91
18 Pd 0.0000 0.5000 0.5000  8 Pd 2.88-2.90, 4 Tl 2.89
19 Pd 0.0000 0.5000 0.6988  4 Tl 2.87-2.88, 8 Pd 2.89-2.91
20 Pd 0.0000 0.5000 0.8982  8 Pd 2.87-2.92, 2 Tl 2.91, 2 Y 2.92

Computed properties:
Its space group is P4/mmm, No. 123. The total energy is -100.22 eV per cell. The density of states at the Fermi level comes out at 20.68 states/eV/cell. The theoretical density comes out at 12.091 Mg/m³. The calculation puts the formation energy at -0.320 eV/atom. As for the crystal system: tetragonal.